Below is a relaxed Rb2ZnBr4 crystal, with properties calculated at the PBE level.

Summary:
Final energy in hartree per atom: -0.104
Size of the total moment in μB per formula unit: 0.00
Crystal system: monoclinic
Energy above the most stable polymorph in this dataset in meV per atom: 0.0

abc: 7.617 7.636 9.769
angles: 90.00 108.59 90.00
Space group P2_1/m (No. 11)
One atom of each set of equivalent atoms:
Rb 0.213 0.250 0.047 x2
Rb 0.284 0.250 0.575 x2
Zn 0.213 0.750 0.793 x2
Br 0.002 0.001 0.733 x4
Br 0.378 0.750 0.051 x2
Br 0.413 0.750 0.641 x2